! TbPrTaN3, relaxed, DFT PBE; values from VASP
&SYSTEM
  ibrav = 0, nat = 12, ntyp = 4
/
ATOMIC_SPECIES
Tb 158.93 Tb.upf
Pr 140.91 Pr.upf
Ta 180.95 Ta.upf
N 14.01 N.upf
CELL_PARAMETERS angstrom
6.5991 0.0000 0.0000
0.0000 3.3871 0.0000
-0.9661 0.0000 9.5697
ATOMIC_POSITIONS angstrom
Tb 0.9946 0.8468 1.0792
Tb 4.6383 2.5403 8.4905
Pr 1.1598 2.5403 7.1904
Pr 4.4732 0.8468 2.3792
Ta 1.9758 2.5403 4.0099
Ta 3.6571 0.8468 5.5598
N -0.2135 0.8468 8.3781
N 1.4776 0.8468 5.0339
N 2.3997 2.5403 2.0822
N 3.2332 0.8468 7.4875
N 4.1554 2.5403 4.5358
N 5.8465 2.5403 1.1916
! Density of states at the Fermi level ... 3.36 states/eV/cell
! Crystal system ... monoclinic
! Formation energy (no corrections) ... -6.4 eV/f.u.
! Space group ... P2_1/m, No. 11

***

! Pr2TaTc2N6, relaxed, DFT PBE; values from VASP
&SYSTEM
  ibrav = 0, nat = 11, ntyp = 4
/
ATOMIC_SPECIES
Pr 140.91 Pr.upf
Ta 180.95 Ta.upf
Tc 98.00 Tc.upf
N 14.01 N.upf
CELL_PARAMETERS angstrom
2.9944 1.7288 5.4451
-2.9944 1.7288 5.4451
0.0000 -3.4576 5.4451
ATOMIC_POSITIONS angstrom
Pr 0.0000 0.0000 3.3528
Pr 0.0000 0.0000 12.9826
Ta 0.0000 0.0000 0.0000
Tc 0.0000 0.0000 7.0581
Tc 0.0000 0.0000 9.2773
N -1.6103 -0.9297 9.5680
N 0.0000 -1.8594 6.7674
N -1.6103 0.9297 6.7674
N 1.6103 -0.9297 9.5680
N 0.0000 1.8594 9.5680
N 1.6103 0.9297 6.7674
! Density of states at the Fermi level ... 4.62 states/eV/cell
! Crystal system ... trigonal
! Formation energy (no corrections) ... -5.9 eV/f.u.
! Space group ... R-3m, No. 166

***

! Pr2TaTcN5, relaxed, DFT PBE; values from VASP
&SYSTEM
  ibrav = 0, nat = 18, ntyp = 4
/
ATOMIC_SPECIES
Pr 140.91 Pr.upf
Ta 180.95 Ta.upf
Tc 98.00 Tc.upf
N 14.01 N.upf
CELL_PARAMETERS angstrom
1.6719 -6.7953 0.0000
1.6719 6.7953 0.0000
0.0000 0.0000 10.6294
ATOMIC_POSITIONS angstrom
Pr 1.6719 5.2979 5.3147
Pr 1.6719 4.8380 1.1050
Pr 1.6719 -4.8380 6.4198
Pr 1.6719 -5.2979 0.0000
Ta 1.6719 3.8229 8.6917
Ta 1.6719 -3.8229 3.3770
Tc 1.6719 0.3502 2.8227
Tc 1.6719 -0.3502 8.1374
N 1.6719 6.1704 9.0046
N 1.6719 2.9268 4.7566
N 1.6719 2.4508 2.0101
N 1.6719 1.8793 8.5439
N 1.6719 0.1257 6.2876
N 1.6719 -0.1257 0.9729
N 1.6719 -1.8793 3.2292
N 1.6719 -2.4508 7.3248
N 1.6719 -2.9268 10.0713
N 1.6719 -6.1704 3.6899
! Density of states at the Fermi level ... 6.83 states/eV/cell
! Crystal system ... orthorhombic
! Formation energy (no corrections) ... -8.3 eV/f.u.
! Space group ... Cmc2_1, No. 36

***

! Pr2ThTaN4, relaxed, DFT PBE; values from VASP
&SYSTEM
  ibrav = 0, nat = 8, ntyp = 4
/
ATOMIC_SPECIES
Pr 140.91 Pr.upf
Th 232.04 Th.upf
Ta 180.95 Ta.upf
N 14.01 N.upf
CELL_PARAMETERS angstrom
6.0922 0.0000 0.0000
0.0000 3.4518 0.0000
-1.9139 0.0000 5.8428
ATOMIC_POSITIONS angstrom
Pr 0.0000 0.0000 0.0000
Pr 3.0461 1.7259 0.0000
Th -0.9570 1.7259 2.9214
Ta 2.0891 0.0000 2.9214
N 0.3072 0.0000 4.1475
N 1.1966 1.7259 1.7531
N 2.9816 1.7259 4.0897
N 3.8711 0.0000 1.6953
! Density of states at the Fermi level ... 3.61 states/eV/cell
! Crystal system ... monoclinic
! Formation energy (no corrections) ... -10.3 eV/f.u.
! Space group ... P2/m, No. 10

***

! Pr3Th2TaN6, relaxed, DFT PBE; values from VASP
&SYSTEM
  ibrav = 0, nat = 12, ntyp = 4
/
ATOMIC_SPECIES
Pr 140.91 Pr.upf
Th 232.04 Th.upf
Ta 180.95 Ta.upf
N 14.01 N.upf
CELL_PARAMETERS angstrom
3.0805 -5.3275 0.0000
3.0805 5.3275 0.0000
-2.0243 0.0000 5.8798
ATOMIC_POSITIONS angstrom
Pr 0.0000 0.0000 0.0000
Pr 3.0805 1.7429 0.0000
Pr 3.0805 -1.7429 0.0000
Th 2.0683 3.5519 2.9399
Th 2.0683 -3.5519 2.9399
Ta 2.0683 0.0000 2.9399
N 1.1339 1.6076 1.7260
N 0.2110 0.0000 4.2129
N 1.1339 -1.6076 1.7260
N 3.0027 1.6076 4.1538
N 3.9257 0.0000 1.6670
N 3.0027 -1.6076 4.1538
! Density of states at the Fermi level ... 5.40 states/eV/cell
! Crystal system ... monoclinic
! Formation energy (no corrections) ... -16.2 eV/f.u.
! Space group ... C2/m, No. 12

***

! PrThTaN4, relaxed, DFT PBE; values from VASP
&SYSTEM
  ibrav = 0, nat = 14, ntyp = 4
/
ATOMIC_SPECIES
Pr 140.91 Pr.upf
Th 232.04 Th.upf
Ta 180.95 Ta.upf
N 14.01 N.upf
CELL_PARAMETERS angstrom
2.8694 -6.3151 0.0000
2.8694 6.3151 0.0000
0.0000 0.0000 5.7233
ATOMIC_POSITIONS angstrom
Pr 2.8694 4.9671 4.2925
Pr 2.8694 -4.9671 1.4308
Th 2.8694 1.3464 4.2925
Th 2.8694 -1.3464 1.4308
Ta 2.8694 3.2623 1.4308
Ta 2.8694 -3.2623 4.2925
N 1.4347 3.1576 0.0000
N 1.4347 3.1576 2.8617
N 2.8694 5.2871 1.4308
N 2.8694 0.9141 1.4308
N 1.4347 -3.1576 0.0000
N 1.4347 -3.1576 2.8617
N 2.8694 -0.9141 4.2925
N 2.8694 -5.2871 4.2925
! Density of states at the Fermi level ... 1.04 states/eV/cell
! Crystal system ... orthorhombic
! Formation energy (no corrections) ... -9.6 eV/f.u.
! Space group ... Cmcm, No. 63

***

! PrThTaN3, relaxed, DFT PBE; values from VASP
&SYSTEM
  ibrav = 0, nat = 12, ntyp = 4
/
ATOMIC_SPECIES
Pr 140.91 Pr.upf
Th 232.04 Th.upf
Ta 180.95 Ta.upf
N 14.01 N.upf
CELL_PARAMETERS angstrom
7.3851 0.0000 0.0000
0.0000 3.7187 0.0000
-1.5853 0.0000 8.8921
ATOMIC_POSITIONS angstrom
Pr 1.0074 0.9297 1.2204
Pr 4.7925 2.7890 7.6716
Th 1.2437 2.7890 7.5387
Th 4.5562 0.9297 1.3534
Ta -0.6669 0.9297 5.5292
Ta 6.4668 2.7890 3.3629
N -0.5546 0.9297 7.6470
N 0.0166 2.7890 5.2785
N 2.8827 2.7890 1.0014
N 2.9171 0.9297 7.8907
N 5.7833 0.9297 3.6136
N 6.3545 2.7890 1.2451
! Density of states at the Fermi level ... 5.03 states/eV/cell
! Crystal system ... monoclinic
! Formation energy (no corrections) ... -6.6 eV/f.u.
! Space group ... P2_1/m, No. 11

***

! PrUTaN3, relaxed, DFT PBE; values from VASP
&SYSTEM
  ibrav = 0, nat = 12, ntyp = 4
/
ATOMIC_SPECIES
Pr 140.91 Pr.upf
U 238.03 U.upf
Ta 180.95 Ta.upf
N 14.01 N.upf
CELL_PARAMETERS angstrom
7.2724 0.0000 0.0000
0.0000 3.2962 0.0000
-0.2728 0.0000 8.2567
ATOMIC_POSITIONS angstrom
Pr 0.7808 0.8241 2.7701
Pr 6.2189 2.4722 5.4866
U 2.6713 2.4722 5.4615
U 4.3283 0.8241 2.7952
Ta 0.8436 0.8241 7.7150
Ta 6.1561 2.4722 0.5418
N 0.9393 2.4722 0.7903
N 1.0683 0.8241 5.5182
N 2.7725 2.4722 3.2811
N 4.2271 0.8241 4.9756
N 5.9313 2.4722 2.7385
N 6.0604 0.8241 7.4665
! Density of states at the Fermi level ... 8.72 states/eV/cell
! Crystal system ... monoclinic
! Formation energy (no corrections) ... -5.8 eV/f.u.
! Space group ... P2_1/m, No. 11

***

! Pr2UTaN6, relaxed, DFT PBE; values from VASP
&SYSTEM
  ibrav = 0, nat = 20, ntyp = 4
/
ATOMIC_SPECIES
Pr 140.91 Pr.upf
U 238.03 U.upf
Ta 180.95 Ta.upf
N 14.01 N.upf
CELL_PARAMETERS angstrom
5.8433 0.0000 0.0000
0.0000 5.8673 0.0000
-5.8031 0.0000 8.2710
ATOMIC_POSITIONS angstrom
Pr -0.0556 0.2119 2.0617
Pr -2.9572 2.7218 6.1972
Pr 2.9974 3.1455 2.0738
Pr 0.0958 5.6554 6.2093
U 2.9217 0.0000 0.0000
U 0.0201 2.9336 4.1355
Ta -2.9016 0.0000 4.1355
Ta 0.0000 2.9336 0.0000
N -4.5617 1.2799 7.8701
N -1.6601 1.6538 3.7346
N -4.1832 4.1910 7.8611
N -1.2816 4.6099 3.7256
N -2.3673 0.1280 6.1692
N 0.5343 2.8056 2.0337
N -0.4940 3.0617 6.2373
N 2.4075 5.7392 2.1018
N 1.3218 1.2574 4.5454
N 4.2234 1.6762 0.4099
N 1.7004 4.2135 4.5364
N 4.6019 4.5874 0.4009
! Density of states at the Fermi level ... 12.15 states/eV/cell
! Crystal system ... monoclinic
! Formation energy (no corrections) ... -12.0 eV/f.u.
! Space group ... P2_1/c, No. 14

***

! Pr3Y2TaN6, relaxed, DFT PBE; values from VASP
&SYSTEM
  ibrav = 0, nat = 12, ntyp = 4
/
ATOMIC_SPECIES
Pr 140.91 Pr.upf
Y 88.91 Y.upf
Ta 180.95 Ta.upf
N 14.01 N.upf
CELL_PARAMETERS angstrom
3.0126 -5.2131 0.0000
3.0126 5.2131 0.0000
-2.0007 0.0000 5.7752
ATOMIC_POSITIONS angstrom
Pr 0.0000 0.0000 0.0000
Pr 3.0126 1.7420 0.0000
Pr 3.0126 -1.7420 0.0000
Y 2.0122 3.4753 2.8876
Y 2.0122 -3.4753 2.8876
Ta 2.0122 0.0000 2.8876
N 1.0900 1.5902 1.6466
N 0.1661 0.0000 4.1674
N 1.0900 -1.5902 1.6466
N 2.9345 1.5902 4.1286
N 3.8584 0.0000 1.6078
N 2.9345 -1.5902 4.1286
! Density of states at the Fermi level ... 2.06 states/eV/cell
! Crystal system ... monoclinic
! Formation energy (no corrections) ... -16.7 eV/f.u.
! Space group ... C2/m, No. 12